This record from Alexandria describes an optimized crystal structure of CaAcTm2Se4. The functional is PBE-GGA.

Calculated values
E_form (uncorrected) (meV/atom): -1773
Crystal system: monoclinic

Unit cell a=4.1391 b=7.2864 c=7.2491 alpha=71.13 beta=90.00 gamma=90.00
Fractional positions:
1 Ac 0.5000 0.5000 0.0000
2 Tm 0.5000 0.0000 0.5000
3 Tm 0.0000 0.0000 0.0000
4 Se 0.5000 0.2314 0.7469
5 Se 0.5000 0.7686 0.2531
6 Se 0.0000 0.7751 0.7312
7 Se 0.0000 0.2249 0.2688
8 Ca 0.0000 0.5000 0.5000